a:
Compound: Al2AgH2
Source: the Alexandria database
Functional: GGA-PBE
Structure: optimized geometry

The symmetry is P4/mbm.

abc: 6.703 6.703 2.663
angles: 90.00 90.00 90.00
Element x y z (fractional)
H  0.104  0.396  0.000
Al  0.358  0.142  0.500
Al  0.642  0.858  0.500
H  0.896  0.604  0.000
H  0.396  0.896  0.000
Al  0.142  0.642  0.500
H  0.604  0.104  0.000
Ag  0.000  0.000  0.000
Ag  0.500  0.500  0.000
Al  0.858  0.358  0.500



b:
Compound: Al2AgH2
Source: the Alexandria database
Functional: GGA-PBE
Structure: optimized geometry

The symmetry is I4/mmm.

abc: 3.868 3.868 5.001
angles: 67.25 67.25 90.00
Element x y z (fractional)
Ag  0.000  0.000  0.000
Al  0.750  0.250  0.500
H  0.341  0.341  0.318
H  0.659  0.659  0.682
Al  0.250  0.750  0.500



Most stable: a (next structure +0.053 eV/atom)